Entry i
Y2HIr: optimized geometry, PBE.

Values from the calculation:
Total magnetization (Bohr magnetons per cell): 0.0
N(E_F) (states/eV per atom): 0.8715

abc: 6.6257 6.6257 6.9836
angles: 90.00 90.00 90.00
Last column: nearest neighbours and their distance in Å.
Space group I-42d (No. 122)
One atom of each set of equivalent atoms:
Y: 0.1834 0.2500 0.1250 x8  2 H 2.23
H: 0.0000 0.0000 0.0000 x4  4 Y 2.23
Ir: 0.0000 0.0000 0.5000 x4  4 Y 2.81

***

Entry ii
Y2HIr: optimized geometry, PBE.

Values from the calculation:
Total magnetization (Bohr magnetons per cell): 0.0
N(E_F) (states/eV per atom): 0.7528

abc: 6.7417 6.7417 6.7417
angles: 90.00 90.00 90.00
Last column: nearest neighbours and their distance in Å.
Space group Fm-3m (No. 225)
One atom of each set of equivalent atoms:
Y: 0.2500 0.2500 0.2500 x8  4 H 2.92, 4 Ir 2.92
H: 0.0000 0.0000 0.0000 x4  8 Y 2.92
Ir: 0.0000 0.0000 0.5000 x4  8 Y 2.92

***

Going by the computed energies, the most stable comes first: entry i, entry ii.

***

Entry i
Y2HIr: optimized geometry, PBE.

Values from the calculation:
Total magnetization (Bohr magnetons per cell): 0.0
N(E_F) (states/eV per atom): 0.5757

abc: 5.7730 5.5512 11.2387
angles: 90.00 115.38 90.00
Last column: nearest neighbours and their distance in Å.
Space group P2/c (No. 13)
One atom of each set of equivalent atoms:
Y: 0.0450 0.2402 0.1060 x4  2 H 2.35-2.41
Y: 0.3489 0.2318 0.8691 x4  1 H 2.29
H: 0.0368 0.1813 0.6211 x4  3 Y 2.29-2.41
Ir: 0.4158 0.2678 0.3556 x4  6 Y 2.71-2.96, 1 Ir 2.93

***

Entry ii
Y2HIr: optimized geometry, PBE.

Values from the calculation:
Total magnetization (Bohr magnetons per cell): 0.0
N(E_F) (states/eV per atom): 0.6273

abc: 3.2064 3.2064 24.9163
angles: 90.00 90.00 120.00
Last column: nearest neighbours and their distance in Å.
Space group R-3m (No. 166, hexagonal axes)
One atom of each set of equivalent atoms:
Y: 0.0000 0.0000 0.1045 x6  3 H 2.41, 1 Ir 2.60
H: 0.0000 0.0000 0.5000 x3  6 Y 2.41
Ir: 0.0000 0.0000 0.0000 x3  2 Y 2.60

***

Going by the computed energies, the most stable comes first: entry i, entry ii.

***

Entry i
YHIr2: optimized geometry, PBE.

Values from the calculation:
Total magnetization (Bohr magnetons per cell): 0.0
N(E_F) (states/eV per atom): 0.8178

abc: 6.3365 6.3365 6.3365
angles: 90.00 90.00 90.00
Last column: nearest neighbours and their distance in Å.
Space group Fm-3m (No. 225)
One atom of each set of equivalent atoms:
Y: 0.0000 0.0000 0.0000 x4  8 Ir 2.74
H: 0.0000 0.0000 0.5000 x4  8 Ir 2.74
Ir: 0.2500 0.2500 0.2500 x8  4 H 2.74, 4 Y 2.74

***

Entry ii
YHIr2: optimized geometry, PBE.

Values from the calculation:
Total magnetization (Bohr magnetons per cell): 0.0
N(E_F) (states/eV per atom): 0.3847

abc: 5.5658 5.5658 7.8889
angles: 90.00 90.00 90.00
Last column: nearest neighbours and their distance in Å.
Space group I-42d (No. 122)
One atom of each set of equivalent atoms:
Y: 0.0000 0.0000 0.0000 x4  12 Ir 3.12-3.41, 4 H 3.41, 4 Y 3.41
H: 0.0000 0.0000 0.5000 x4  4 Ir 1.71
Ir: 0.0313 0.2500 0.6250 x8  2 H 1.71

***

Going by the computed energies, the most stable comes first: entry ii, entry i.

***

Entry i
YH2Ir: optimized geometry, PBE.

Values from the calculation:
Total magnetization (Bohr magnetons per cell): 0.0
N(E_F) (states/eV per atom): 0.4283

abc: 5.7452 5.7452 5.7452
angles: 90.00 90.00 90.00
Last column: nearest neighbours and their distance in Å.
Space group Fm-3m (No. 225)
One atom of each set of equivalent atoms:
Y: 0.0000 0.0000 0.0000 x4  8 H 2.49
H: 0.2500 0.2500 0.2500 x8  4 Ir 2.49, 4 Y 2.49
Ir: 0.0000 0.0000 0.5000 x4  8 H 2.49

***

Entry ii
YH2Ir: optimized geometry, PBE.

Values from the calculation:
Total magnetization (Bohr magnetons per cell): 0.0
N(E_F) (states/eV per atom): 0.2158

abc: 4.3834 4.3834 10.0265
angles: 90.00 90.00 90.00
Last column: nearest neighbours and their distance in Å.
Space group I-42d (No. 122)
One atom of each set of equivalent atoms:
Y: 0.0000 0.0000 0.0000 x4  4 H 2.29
H: 0.1428 0.2500 0.6250 x8  2 Ir 1.78
Ir: 0.0000 0.0000 0.5000 x4  4 H 1.78

***

Going by the computed energies, the most stable comes first: entry ii, entry i.

***

Entry i
Y2H2Ir: optimized geometry, PBE.

Values from the calculation:
Total magnetization (Bohr magnetons per cell): 0.0
N(E_F) (states/eV per atom): 0.2591

abc: 3.4347 3.4347 12.7333
angles: 90.00 90.00 90.00
Last column: nearest neighbours and their distance in Å.
Space group I4/mmm (No. 139)
One atom of each set of equivalent atoms:
Y: 0.0000 0.0000 0.1371 x4  4 H 2.24
H: 0.0000 0.5000 0.2500 x4  4 Y 2.24, 4 H 2.43
Ir: 0.0000 0.0000 0.5000 x2  8 Y 2.99

***

Entry ii
Y2H2Ir: optimized geometry, PBE.

Values from the calculation:
Total magnetization (Bohr magnetons per cell): 0.0
N(E_F) (states/eV per atom): 0.5303

abc: 6.8261 6.8261 3.1799
angles: 90.00 90.00 90.00
Last column: nearest neighbours and their distance in Å.
Space group P4/mbm (No. 127)
One atom of each set of equivalent atoms:
Y: 0.1842 0.3158 0.0000 x4  6 H 2.51-2.63
H: 0.1142 0.6142 0.5000 x4  1 H 2.20
Ir: 0.0000 0.0000 0.5000 x2  4 H 2.75, 8 Y 2.96

***

Entry iii
Y2H2Ir: optimized geometry, PBE.

Values from the calculation:
Total magnetization (Bohr magnetons per cell): 0.0
N(E_F) (states/eV per atom): 0.3277

abc: 3.3586 3.3586 6.7893
angles: 90.00 90.00 90.00
Last column: nearest neighbours and their distance in Å.
Space group P4/mmm (No. 123)
One atom of each set of equivalent atoms:
Y: 0.0000 0.0000 0.2393 x2  4 H 2.34
H: 0.0000 0.5000 0.0000 x2  4 Y 2.34, 4 H 2.37
Ir: 0.5000 0.5000 0.5000 x1  8 Y 2.96

***

Going by the computed energies, the most stable comes first: entry i, entry iii, entry ii.

***

Entry i
Y2ZnHIr: optimized geometry, PBE.

Values from the calculation:
Total magnetization (Bohr magnetons per cell): 0.0
N(E_F) (states/eV per atom): 0.7936

abc: 4.9930 4.9930 3.5908
angles: 90.00 90.00 90.00
Last column: nearest neighbours and their distance in Å.
Space group P4/mmm (No. 123)
One atom of each set of equivalent atoms:
Y: 0.0000 0.5000 0.0000 x2  2 H 2.50
Zn: 0.0000 0.0000 0.5000 x1  8 Y 3.08
H: 0.5000 0.5000 0.0000 x1  2 Ir 1.80
Ir: 0.5000 0.5000 0.5000 x1  2 H 1.80

***

Entry ii
Y2ZnHIr: optimized geometry, PBE.

Values from the calculation:
Total magnetization (Bohr magnetons per cell): 0.0
N(E_F) (states/eV per atom): 0.2549

abc: 4.7958 4.7958 3.7536
angles: 90.00 90.00 90.00
Last column: nearest neighbours and their distance in Å.
Space group P4/mmm (No. 123)
One atom of each set of equivalent atoms:
Y: 0.0000 0.5000 0.0000 x2  2 H 2.40
Zn: 0.0000 0.0000 0.5000 x1  2 H 1.88
H: 0.0000 0.0000 0.0000 x1  2 Zn 1.88
Ir: 0.5000 0.5000 0.5000 x1  8 Y 3.05, 4 Zn 3.39

***

Going by the computed energies, the most stable comes first: entry i, entry ii.

***

Entry i
ZnHIr2: optimized geometry, PBE.

Values from the calculation:
Total magnetization (Bohr magnetons per cell): 0.0
N(E_F) (states/eV per atom): 0.9222

abc: 5.8088 5.8088 5.8088
angles: 90.00 90.00 90.00
Last column: nearest neighbours and their distance in Å.
Space group Fm-3m (No. 225)
One atom of each set of equivalent atoms:
Zn: 0.0000 0.0000 0.0000 x4  8 Ir 2.52
H: 0.0000 0.0000 0.5000 x4  8 Ir 2.52
Ir: 0.2500 0.2500 0.2500 x8  4 H 2.52, 4 Zn 2.52

***

Entry ii
ZnHIr2: optimized geometry, PBE.

Values from the calculation:
Total magnetization (Bohr magnetons per cell): 0.2
N(E_F) (states/eV per atom): 1.2819

abc: 2.7865 2.7865 20.4348
angles: 90.00 90.00 120.00
Last column: nearest neighbours and their distance in Å.
Space group R-3m (No. 166, hexagonal axes)
One atom of each set of equivalent atoms:
Zn: 0.0000 0.0000 0.0000 x3  6 Ir 2.68, 6 Zn 2.79
H: 0.0000 0.0000 0.5000 x3  6 Ir 2.05
Ir: 0.0000 0.0000 0.2286 x6  3 H 2.05

***

Entry iii
ZnHIr2: optimized geometry, PBE.

Values from the calculation:
Total magnetization (Bohr magnetons per cell): 0.0
N(E_F) (states/eV per atom): 0.6703

abc: 6.1088 6.1088 5.0562
angles: 90.00 90.00 90.00
Last column: nearest neighbours and their distance in Å.
Space group I-42d (No. 122)
One atom of each set of equivalent atoms:
Zn: 0.0000 0.0000 0.0000 x4  2 H 2.53, 8 Ir 2.61-2.69
H: 0.0000 0.0000 0.5000 x4  4 Ir 1.90
Ir: 0.1529 0.2500 0.6250 x8  2 H 1.90

***

Going by the computed energies, the most stable comes first: entry ii, entry iii, entry i.

***

Entry i
ZnHIr3: optimized geometry, PBE.

Values from the calculation:
Total magnetization (Bohr magnetons per cell): 3.9
N(E_F) (states/eV per atom): 1.2748

abc: 4.5699 4.5699 4.5699
angles: 90.00 90.00 90.00
Last column: nearest neighbours and their distance in Å.
Space group Pm-3m (No. 221)
One atom of each set of equivalent atoms:
Zn: 0.0000 0.0000 0.0000 x1  6 Ir 2.28
H: 0.5000 0.5000 0.5000 x1  12 Ir 3.23
Ir: 0.0000 0.0000 0.5000 x3  2 Zn 2.28

***

Entry ii
ZnHIr3: optimized geometry, PBE.

Values from the calculation:
Total magnetization (Bohr magnetons per cell): 0.0
N(E_F) (states/eV per atom): 0.7117

abc: 3.9331 3.9331 3.9331
angles: 90.00 90.00 90.00
Last column: nearest neighbours and their distance in Å.
Space group Pm-3m (No. 221)
One atom of each set of equivalent atoms:
Zn: 0.0000 0.0000 0.0000 x1  12 Ir 2.78
H: 0.5000 0.5000 0.5000 x1  6 Ir 1.97
Ir: 0.0000 0.5000 0.5000 x3  2 H 1.97

***

Going by the computed energies, the most stable comes first: entry ii, entry i.